Record 1
The following is a DFT calculation (PBE) of a geometry-optimized CeSmGaHg structure.

Polymorph energy (0 for the lowest one) (eV/atom): 0.000
Energy of formation from the pure elements (eV per formula unit): -1.81
Crystal system: tetragonal
DOS(E_F) (states/eV per cell): 6.7

Cell: 3.4836 3.4836 8.3750 Å, 90.00 90.00 90.00°
Closest atoms and distances in Å follow each position.
Positions (direct):
Ce1 0.0000 0.0000 0.0000  4 Ga 3.16, 4 Hg 3.35, 4 Ce 3.48
Sm1 0.0000 0.0000 0.4699  4 Ga 3.15, 4 Hg 3.28, 4 Sm 3.48
Ga1 0.5000 0.5000 0.2360  4 Sm 3.15, 4 Ce 3.16, 4 Ga 3.48
Hg1 0.5000 0.5000 0.7293  4 Sm 3.28, 4 Ce 3.35, 4 Hg 3.48

Record 2
The following is a DFT calculation (PBE) of a geometry-optimized LaVMo2 structure.

Polymorph energy (0 for the lowest one) (eV/atom): 0.031
Energy of formation from the pure elements (eV per formula unit): 1.45
Crystal system: monoclinic
DOS(E_F) (states/eV per cell): 9.4

Cell: 5.9490 5.9490 8.1914 Å, 119.83 119.83 40.58°
Closest atoms and distances in Å follow each position.
Positions (direct):
La1 0.0000 0.0000 0.0000  7 Mo 3.05-3.31, 2 La 3.40
La2 0.6047 0.6047 0.3818  4 V 3.08-3.25, 3 Mo 3.09-3.31, 2 La 3.40
V1 0.3403 0.3403 0.4098  5 Mo 2.51-2.62
V2 0.6195 0.6195 0.7781  4 Mo 2.54-2.59
Mo1 0.2636 0.2636 0.9754  2 V 2.59, 3 Mo 2.60-2.63
Mo2 0.3041 0.3041 0.6866  1 V 2.51, 1 Mo 2.63
Mo3 0.8024 0.8024 0.1910  3 Mo 2.60-2.84, 3 V 2.62-2.88
Mo4 0.9790 0.9790 0.5982  4 V 2.54-2.55, 1 Mo 2.84

Record 3
The following is a DFT calculation (PBE) of a geometry-optimized Pm2Ni12Ge3Pt structure.

Energy of formation from the pure elements (eV per formula unit): -0.45
Crystal system: trigonal
DOS(E_F) (states/eV per cell): 19.3

Cell: 9.3273 9.3273 9.3273 Å, 38.17 38.17 38.17°
Closest atoms and distances in Å follow each position.
Positions (direct):
Pm1 0.1498 0.1498 0.1498  6 Ni 3.02-3.12
Pm2 0.8502 0.8502 0.8502  6 Ni 3.02-3.12
Ni1 0.0847 0.0847 0.6925  2 Ge 2.31, 4 Ni 2.39-2.41
Ni2 0.0847 0.6925 0.0847  2 Ge 2.31, 4 Ni 2.39-2.41
Ni3 0.1428 0.5671 0.5671  1 Ge 2.41, 4 Ni 2.41-2.59, 1 Pt 2.44
Ni4 0.3075 0.9153 0.9153  2 Ge 2.31, 4 Ni 2.39-2.41
Ni5 0.4329 0.4329 0.8572  1 Ge 2.41, 4 Ni 2.41-2.59, 1 Pt 2.44
Ni6 0.4329 0.8572 0.4329  1 Ge 2.41, 4 Ni 2.41-2.59, 1 Pt 2.44
Ni7 0.5671 0.1428 0.5671  1 Ge 2.41, 4 Ni 2.41-2.59, 1 Pt 2.44
Ni8 0.5671 0.5671 0.1428  1 Ge 2.41, 4 Ni 2.41-2.59, 1 Pt 2.44
Ni9 0.6925 0.0847 0.0847  2 Ge 2.31, 4 Ni 2.39-2.41
Ni10 0.8572 0.4329 0.4329  1 Ge 2.41, 4 Ni 2.41-2.59, 1 Pt 2.44
Ni11 0.9153 0.3075 0.9153  2 Ge 2.31, 4 Ni 2.39-2.41
Ni12 0.9153 0.9153 0.3075  2 Ge 2.31, 4 Ni 2.39-2.41
Ge1 0.0000 0.5000 0.5000  6 Ni 2.31-2.41
Ge2 0.5000 0.0000 0.5000  6 Ni 2.31-2.41
Ge3 0.5000 0.5000 0.0000  6 Ni 2.31-2.41
Pt1 0.5000 0.5000 0.5000  6 Ni 2.44

Record 4
The following is a DFT calculation (PBE) of a geometry-optimized Rb2YHgI6 structure.

Formation energy (no corrections) (kJ per mole of atoms): -107
Crystal system: tetragonal
DOS(E_F) (states/eV per cell): 7.2

Cell: 8.8174 8.8174 8.8174 Å, 119.90 119.90 90.18°
Closest atoms and distances in Å follow each position.
Positions (direct):
Rb1 0.2500 0.7500 0.5000  12 I 4.41-4.42
Rb2 0.7500 0.2500 0.5000  12 I 4.41-4.42
Y1 0.0000 0.0000 0.0000  6 I 3.03
Hg1 0.5000 0.5000 0.0000  6 I 3.20-3.22
I1 0.2423 0.2423 0.4846  1 Y 3.03, 1 Hg 3.22
I2 0.2423 0.7577 0.0000  1 Y 3.03, 1 Hg 3.22
I3 0.2431 0.2431 0.0000  1 Y 3.03, 1 Hg 3.20
I4 0.7569 0.7569 0.0000  1 Y 3.03, 1 Hg 3.20
I5 0.7577 0.2423 0.0000  1 Y 3.03, 1 Hg 3.22
I6 0.7577 0.7577 0.5154  1 Y 3.03, 1 Hg 3.22

Record 5
The following is a DFT calculation (PBE) of a geometry-optimized Hf2PdPb structure.

Energy of formation from the pure elements (eV per formula unit): -0.34
Crystal system: trigonal
DOS(E_F) (states/eV per cell): 2.7

Cell: 6.7762 6.7762 6.7762 Å, 35.66 35.66 35.66°
Closest atoms and distances in Å follow each position.
Positions (direct):
Hf1 0.0000 0.0000 0.0000  3 Pd 2.66
Hf2 0.1999 0.1999 0.1999  3 Pd 2.77, 3 Pb 3.03
Pd1 0.6063 0.6063 0.6063  6 Hf 2.66-2.77
Pb1 0.7692 0.7692 0.7692  6 Hf 3.03-3.09, 1 Pd 3.10

Record 6
The following is a DFT calculation (PBE) of a geometry-optimized KTiTlCl6 structure.

Formation energy (no corrections) (kJ per mole of atoms): -148
Crystal system: trigonal
DOS(E_F) (states/eV per cell): 0.0

Cell: 7.3582 7.3582 6.3134 Å, 90.00 90.00 120.00°
Closest atoms and distances in Å follow each position.
Positions (direct):
K1 0.0000 0.0000 0.0000  6 Cl 3.09
Ti1 0.3333 0.6667 0.0000  6 Cl 2.37
Tl1 0.6667 0.3333 0.5000  6 Cl 3.27
Cl1 0.0704 0.4059 0.2184  1 Ti 2.37
Cl2 0.0704 0.6645 0.7816  1 Ti 2.37
Cl3 0.3355 0.4059 0.7816  1 Ti 2.37
Cl4 0.3355 0.9296 0.2184  1 Ti 2.37
Cl5 0.5941 0.6645 0.2184  1 Ti 2.37
Cl6 0.5941 0.9296 0.7816  1 Ti 2.37

Record 7
The following is a DFT calculation (PBE) of a geometry-optimized Ac2MnSi4Ir3 structure.

Formation energy (no corrections) (kJ per mole of atoms): -77
Crystal system: tetragonal
DOS(E_F) (states/eV per cell): 7.1

Cell: 4.2657 4.2657 10.2527 Å, 90.00 90.00 90.00°
Closest atoms and distances in Å follow each position.
Positions (direct):
Ac1 0.0000 0.5000 0.2463  6 Ir 3.28-3.36, 8 Si 3.29-3.31, 2 Mn 3.36
Ac2 0.5000 0.0000 0.7537  6 Ir 3.28-3.36, 8 Si 3.29-3.31, 2 Mn 3.36
Mn1 0.0000 0.0000 0.5000  4 Si 2.49
Si1 0.0000 0.0000 0.0000  4 Ir 2.47
Si2 0.0000 0.5000 0.6251  3 Ir 2.49-2.60, 2 Mn 2.49
Si3 0.5000 0.0000 0.3749  3 Ir 2.49-2.60, 2 Mn 2.49
Si4 0.5000 0.5000 0.0000  4 Ir 2.47
Ir1 0.0000 0.5000 0.8786  5 Si 2.47-2.60
Ir2 0.5000 0.0000 0.1214  5 Si 2.47-2.60
Ir3 0.5000 0.5000 0.5000  4 Si 2.49

Record 8
The following is a DFT calculation (PBE) of a geometry-optimized BaScCo2 structure.

Polymorph energy (0 for the lowest one) (eV/atom): 0.443
Energy of formation from the pure elements (eV per formula unit): 2.10
Crystal system: tetragonal
DOS(E_F) (states/eV per cell): 6.8

Cell: 4.9061 4.9061 3.3873 Å, 90.00 90.00 90.00°
Closest atoms and distances in Å follow each position.
Positions (direct):
Ba1 0.0000 0.0000 0.0000  8 Co 2.98
Sc1 0.5000 0.5000 0.0000  8 Co 2.98
Co1 0.0000 0.5000 0.5000  4 Sc 2.98, 4 Ba 2.98
Co2 0.5000 0.0000 0.5000  4 Sc 2.98, 4 Ba 2.98

Record 9
The following is a DFT calculation (PBE) of a geometry-optimized Tb2Nd4Mg structure.

Polymorph energy (0 for the lowest one) (eV/atom): 0.060
Energy of formation from the pure elements (eV per formula unit): 1.26
Crystal system: orthorhombic
DOS(E_F) (states/eV per cell): 14.4

Cell: 8.9907 8.9907 8.9907 Å, 135.22 101.19 95.52°
Closest atoms and distances in Å follow each position.
Positions (direct):
Tb1 0.0000 0.0000 0.0000  4 Nd 3.43
Tb2 0.4665 0.2165 0.2500  4 Nd 3.15-3.39, 2 Tb 3.52
Tb3 0.5000 0.0000 0.5000  4 Nd 3.43
Tb4 0.5335 0.7835 0.7500  4 Nd 3.15-3.39, 2 Tb 3.52
Nd1 0.1408 0.6543 0.4865  1 Tb 3.39, 2 Mg 3.40, 3 Nd 3.68-3.74
Nd2 0.2586 0.2851 0.5265  1 Nd 3.06, 1 Mg 3.13, 3 Tb 3.15-3.43
Nd3 0.2586 0.7321 0.9735  1 Nd 3.06, 1 Mg 3.13, 3 Tb 3.15-3.43
Nd4 0.3322 0.3457 0.9865  1 Tb 3.39, 2 Mg 3.40, 3 Nd 3.68-3.74
Nd5 0.6678 0.6543 0.0135  1 Tb 3.39, 2 Mg 3.40, 3 Nd 3.68-3.74
Nd6 0.7414 0.2679 0.0265  1 Nd 3.06, 1 Mg 3.13, 3 Tb 3.15-3.43
Nd7 0.7414 0.7149 0.4735  1 Nd 3.06, 1 Mg 3.13, 3 Tb 3.15-3.43
Nd8 0.8592 0.3457 0.5135  1 Tb 3.39, 2 Mg 3.40, 3 Nd 3.68-3.74
Mg1 0.0000 0.0000 0.5000  6 Nd 3.13-3.40, 2 Mg 3.42
Mg2 0.0000 0.5000 0.0000  6 Nd 3.13-3.40, 2 Mg 3.42

Record 10
The following is a DFT calculation (PBE) of a geometry-optimized PrGa2PbAu5 structure.

Energy of formation from the pure elements (eV per formula unit): -3.41
Crystal system: tetragonal
DOS(E_F) (states/eV per cell): 4.6

Cell: 4.5976 4.5976 8.9714 Å, 90.00 90.00 90.00°
Closest atoms and distances in Å follow each position.
Positions (direct):
Pr1 0.0000 0.0000 0.0000  8 Au 3.34, 8 Ga 3.48
Ga1 0.5000 0.5000 0.1392  1 Ga 2.50, 4 Au 2.58
Ga2 0.5000 0.5000 0.8608  1 Ga 2.50, 4 Au 2.58
Pb1 0.0000 0.0000 0.5000  12 Au 3.09-3.25
Au1 0.0000 0.5000 0.2697  2 Ga 2.58
Au2 0.0000 0.5000 0.7303  2 Ga 2.58
Au3 0.5000 0.0000 0.2697  2 Ga 2.58
Au4 0.5000 0.0000 0.7303  2 Ga 2.58
Au5 0.5000 0.5000 0.5000  8 Au 3.09, 2 Ga 3.24, 4 Pb 3.25

Record 11
The following is a DFT calculation (PBE) of a geometry-optimized TcTe3H structure.

Polymorph energy (0 for the lowest one) (eV/atom): 0.000
Crystal system: cubic
DOS(E_F) (states/eV per cell): 5.4

Cell: 5.2777 5.2777 5.2777 Å, 90.00 90.00 90.00°
Closest atoms and distances in Å follow each position.
Positions (direct):
Tc1 0.0000 0.0000 0.0000  6 Te 2.64
Te1 0.0000 0.0000 0.5000  2 Tc 2.64
Te2 0.0000 0.5000 0.0000  2 Tc 2.64
Te3 0.5000 0.0000 0.0000  2 Tc 2.64
H1 0.5000 0.5000 0.5000  12 Te 3.73